# 1
This record from the Alexandria database describes crystalline GaBi2Se4 at its relaxed geometry. The functional is PBE-GGA. Values from VASP.

Cell and atoms, written as Quantum ESPRESSO input:
```
&SYSTEM
  ibrav = 0, nat = 14, ntyp = 3
/
ATOMIC_SPECIES
Ga 69.72 Ga.upf
Bi 208.98 Bi.upf
Se 78.96 Se.upf
CELL_PARAMETERS angstrom
7.136 0.000 0.000
0.000 7.125 0.000
-2.323 0.000 7.942
ATOMIC_POSITIONS crystal
Ga 0.228 0.250 0.300
Ga 0.772 0.750 0.700
Bi 0.194 0.750 0.058
Bi 0.279 0.750 0.561
Bi 0.721 0.250 0.439
Bi 0.806 0.250 0.942
Se 0.004 0.010 0.764
Se 0.004 0.490 0.764
Se 0.427 0.250 0.594
Se 0.450 0.250 0.125
Se 0.550 0.750 0.875
Se 0.573 0.750 0.406
Se 0.996 0.510 0.236
Se 0.996 0.990 0.236
```

Raw total energy (eV per atom): -3.8278
Crystal system: monoclinic
Size of the total moment (μB per atom): 0.000
Energy relative to the elements, uncorrected (eV per formula unit): -2.1

---

# 2
This record from the Alexandria database describes crystalline Sr5Mg at its relaxed geometry. The functional is PBE-GGA. Values from VASP.

Cell and atoms, written as Quantum ESPRESSO input:
```
&SYSTEM
  ibrav = 0, nat = 12, ntyp = 2
/
ATOMIC_SPECIES
Sr 87.62 Sr.upf
Mg 24.30 Mg.upf
CELL_PARAMETERS angstrom
5.834 0.000 0.000
0.000 5.759 0.000
0.000 0.000 17.240
ATOMIC_POSITIONS crystal
Sr 0.000 0.000 0.000
Sr 0.000 0.000 0.314
Sr 0.000 0.500 0.500
Sr 0.000 0.500 0.814
Sr 0.500 0.000 0.157
Sr 0.500 0.000 0.496
Sr 0.500 0.000 0.818
Sr 0.500 0.500 0.318
Sr 0.500 0.500 0.657
Sr 0.500 0.500 0.996
Mg 0.000 0.000 0.658
Mg 0.000 0.500 0.158
```

Raw total energy (eV per atom): -1.6361
DFT formation energy (eV per atom): 0.0312
Crystal system: orthorhombic
Size of the total moment (μB per atom): 0.000

---

# 3
This record from the Alexandria database describes crystalline Na2Mg5In4 at its relaxed geometry. The functional is PBE-GGA. Values from VASP.

Cell and atoms, written as Quantum ESPRESSO input:
```
&SYSTEM
  ibrav = 0, nat = 11, ntyp = 3
/
ATOMIC_SPECIES
Na 22.99 Na.upf
Mg 24.30 Mg.upf
In 114.82 In.upf
CELL_PARAMETERS angstrom
0.000 5.162 9.622
3.100 0.000 9.622
3.100 5.162 0.000
ATOMIC_POSITIONS crystal
Na 0.114 0.114 0.886
Na 0.886 0.886 0.114
Mg 0.000 0.000 0.500
Mg 0.250 0.250 0.250
Mg 0.500 0.500 0.000
Mg 0.500 0.500 0.500
Mg 0.750 0.750 0.750
In 0.213 0.529 0.471
In 0.471 0.787 0.213
In 0.529 0.213 0.787
In 0.787 0.471 0.529
```

Raw total energy (eV per atom): -1.9656
DFT formation energy (eV per atom): -0.0052
Crystal system: orthorhombic
Size of the total moment (μB per atom): 0.000

---

# 4
This record from the Alexandria database describes crystalline LiGeAs2 at its relaxed geometry. The functional is PBE-GGA. Values from VASP.

Cell and atoms, written as Quantum ESPRESSO input:
```
&SYSTEM
  ibrav = 0, nat = 16, ntyp = 3
/
ATOMIC_SPECIES
Li 6.94 Li.upf
Ge 72.64 Ge.upf
As 74.92 As.upf
CELL_PARAMETERS angstrom
6.071 0.000 0.000
0.000 6.071 0.000
0.000 0.000 10.372
ATOMIC_POSITIONS crystal
Li 0.000 0.000 0.000
Li 0.000 0.500 0.250
Li 0.500 0.000 0.750
Li 0.500 0.500 0.500
Ge 0.000 0.000 0.500
Ge 0.000 0.500 0.750
Ge 0.500 0.000 0.250
Ge 0.500 0.500 0.000
As 0.237 0.250 0.625
As 0.250 0.737 0.875
As 0.250 0.763 0.375
As 0.263 0.250 0.125
As 0.737 0.750 0.125
As 0.750 0.237 0.375
As 0.750 0.263 0.875
As 0.763 0.750 0.625
```

Raw total energy (eV per atom): -4.0386
DFT formation energy (eV per atom): -0.0810
Crystal system: tetragonal
Size of the total moment (μB per atom): 0.000

---

# 5
This record from the Alexandria database describes crystalline UNb3O10 at its relaxed geometry. The functional is PBE-GGA. Values from VASP.

Cell and atoms, written as Quantum ESPRESSO input:
```
&SYSTEM
  ibrav = 0, nat = 28, ntyp = 3
/
ATOMIC_SPECIES
U 238.03 U.upf
Nb 92.91 Nb.upf
O 16.00 O.upf
CELL_PARAMETERS angstrom
0.000 6.512 8.115
3.767 0.000 8.115
3.767 6.512 0.000
ATOMIC_POSITIONS crystal
U 0.125 0.125 0.125
U 0.875 0.875 0.875
Nb 0.137 0.137 0.613
Nb 0.375 0.375 0.375
Nb 0.387 0.387 0.863
Nb 0.613 0.613 0.137
Nb 0.625 0.625 0.625
Nb 0.863 0.863 0.387
O 0.010 0.010 0.240
O 0.078 0.672 0.078
O 0.078 0.676 0.469
O 0.240 0.240 0.010
O 0.251 0.251 0.499
O 0.276 0.469 0.676
O 0.324 0.922 0.724
O 0.328 0.922 0.328
O 0.469 0.276 0.078
O 0.499 0.499 0.251
O 0.501 0.501 0.749
O 0.531 0.724 0.922
O 0.672 0.078 0.672
O 0.676 0.078 0.276
O 0.724 0.531 0.324
O 0.749 0.749 0.501
O 0.760 0.760 0.990
O 0.922 0.324 0.531
O 0.922 0.328 0.922
O 0.990 0.990 0.760
```

Raw total energy (eV per atom): -9.2011
Crystal system: orthorhombic
Size of the total moment (μB per atom): 0.065
Energy relative to the elements, uncorrected (eV per formula unit): -37.7

---

# 6
This record from the Alexandria database describes crystalline CaTc2Br at its relaxed geometry. The functional is PBE-GGA. Values from VASP.

Cell and atoms, written as Quantum ESPRESSO input:
```
&SYSTEM
  ibrav = 0, nat = 12, ntyp = 3
/
ATOMIC_SPECIES
Ca 40.08 Ca.upf
Tc 98.00 Tc.upf
Br 79.90 Br.upf
CELL_PARAMETERS angstrom
3.077 0.000 0.000
-1.539 2.665 0.000
0.000 0.000 27.758
ATOMIC_POSITIONS crystal
Ca 0.000 0.000 0.000
Ca 0.333 0.667 0.667
Ca 0.667 0.333 0.333
Tc 0.000 0.000 0.241
Tc 0.000 0.000 0.759
Tc 0.333 0.667 0.425
Tc 0.333 0.667 0.908
Tc 0.667 0.333 0.092
Tc 0.667 0.333 0.575
Br 0.000 0.000 0.500
Br 0.333 0.667 0.167
Br 0.667 0.333 0.833
```

Raw total energy (eV per atom): -5.1610
Crystal system: trigonal
Size of the total moment (μB per atom): 0.609
Energy relative to the elements, uncorrected (eV per formula unit): 3.8

---

# 7
This record from the Alexandria database describes crystalline Y5Tm12Mg2 at its relaxed geometry. The functional is PBE-GGA. Values from VASP.

Cell and atoms, written as Quantum ESPRESSO input:
```
&SYSTEM
  ibrav = 0, nat = 19, ntyp = 3
/
ATOMIC_SPECIES
Y 88.91 Y.upf
Tm 168.93 Tm.upf
Mg 24.30 Mg.upf
CELL_PARAMETERS angstrom
7.897 -4.490 0.000
7.897 4.490 0.000
-0.013 0.000 8.241
ATOMIC_POSITIONS crystal
Y 0.000 0.000 0.000
Y 0.238 0.238 0.079
Y 0.302 0.302 0.498
Y 0.698 0.698 0.502
Y 0.762 0.762 0.921
Tm 0.031 0.660 0.253
Tm 0.092 0.092 0.399
Tm 0.180 0.571 0.836
Tm 0.340 0.969 0.747
Tm 0.429 0.820 0.164
Tm 0.445 0.445 0.167
Tm 0.555 0.555 0.833
Tm 0.571 0.180 0.836
Tm 0.660 0.031 0.253
Tm 0.820 0.429 0.164
Tm 0.908 0.908 0.601
Tm 0.969 0.340 0.747
Mg 0.324 0.676 0.500
Mg 0.676 0.324 0.500
```

Raw total energy (eV per atom): -4.5947
DFT formation energy (eV per atom): 0.0984
Crystal system: monoclinic
Size of the total moment (μB per atom): 0.000

---

# 8
This record from the Alexandria database describes crystalline CrPb at its relaxed geometry. The functional is PBE-GGA. Values from VASP.

Cell and atoms, written as Quantum ESPRESSO input:
```
&SYSTEM
  ibrav = 0, nat = 4, ntyp = 2
/
ATOMIC_SPECIES
Cr 52.00 Cr.upf
Pb 207.20 Pb.upf
CELL_PARAMETERS angstrom
3.118 0.000 0.000
0.000 3.118 0.000
0.000 0.000 8.614
ATOMIC_POSITIONS crystal
Cr 0.250 0.250 0.055
Cr 0.750 0.750 0.945
Pb 0.250 0.250 0.700
Pb 0.750 0.750 0.300
```

Raw total energy (eV per atom): -6.2267
DFT formation energy (eV per atom): 0.4392
Crystal system: tetragonal
Size of the total moment (μB per atom): 0.001

---

# 9
This record from the Alexandria database describes crystalline TlCd2Cu2 at its relaxed geometry. The functional is PBE-GGA. Values from VASP.

Cell and atoms, written as Quantum ESPRESSO input:
```
&SYSTEM
  ibrav = 0, nat = 10, ntyp = 3
/
ATOMIC_SPECIES
Tl 204.38 Tl.upf
Cd 112.41 Cd.upf
Cu 63.55 Cu.upf
CELL_PARAMETERS angstrom
8.171 0.000 0.000
0.000 8.171 0.000
0.000 0.000 2.944
ATOMIC_POSITIONS crystal
Tl 0.000 0.000 0.000
Tl 0.500 0.500 0.000
Cd 0.130 0.370 0.000
Cd 0.370 0.870 0.000
Cd 0.630 0.130 0.000
Cd 0.870 0.630 0.000
Cu 0.167 0.667 0.500
Cu 0.333 0.167 0.500
Cu 0.667 0.833 0.500
Cu 0.833 0.333 0.500
```

Raw total energy (eV per atom): -2.3016
DFT formation energy (eV per atom): 0.1762
Crystal system: tetragonal
Size of the total moment (μB per atom): 0.000

---

# 10
This record from the Alexandria database describes crystalline Sn2PdRh2 at its relaxed geometry. The functional is PBE-GGA. Values from VASP.

Cell and atoms, written as Quantum ESPRESSO input:
```
&SYSTEM
  ibrav = 0, nat = 10, ntyp = 3
/
ATOMIC_SPECIES
Sn 118.71 Sn.upf
Pd 106.42 Pd.upf
Rh 102.91 Rh.upf
CELL_PARAMETERS angstrom
7.566 0.000 0.000
0.000 7.566 0.000
0.000 0.000 3.078
ATOMIC_POSITIONS crystal
Sn 0.158 0.342 0.000
Sn 0.342 0.842 0.000
Sn 0.658 0.158 0.000
Sn 0.842 0.658 0.000
Pd 0.000 0.000 0.000
Pd 0.500 0.500 0.000
Rh 0.139 0.639 0.500
Rh 0.361 0.139 0.500
Rh 0.639 0.861 0.500
Rh 0.861 0.361 0.500
```

Raw total energy (eV per atom): -5.9599
DFT formation energy (eV per atom): -0.3797
Crystal system: tetragonal
Size of the total moment (μB per atom): 0.000